Record 1
# EuErTm4

EuErTm4 after structural relaxation (PBE, the Alexandria database).

```
EuErTm4
1.0
6.588 0.000 0.000
3.294 5.705 0.000
3.294 1.902 5.379
Tm Er Eu
4 1 1
Cartesian
8.253 4.765 3.369
6.588 1.880 3.369
6.588 3.803 0.649
4.922 4.765 3.369
0.000 0.000 0.000
3.294 1.902 1.345
```

Formation energy = 256 meV per atom
ρ = 8.2 g/cm3
VASP energy = -5.1977 eV per atom
Total magnetic moment = 1.243 μB per atom

=====

Record 2
# PaMn2Te6

PaMn2Te6 after structural relaxation (PBE, the Alexandria database).

```
PaMn2Te6
1.0
7.696 -0.078 -0.076
2.199 8.216 -0.386
2.199 -0.119 8.224
Te Mn Pa
12 4 2
Cartesian
5.348 4.990 0.832
6.746 3.029 6.931
3.324 0.707 1.437
4.922 6.598 7.140
2.898 7.064 2.840
1.714 4.231 1.794
9.196 0.954 4.922
6.532 6.127 3.630
8.770 7.311 6.326
5.562 1.891 4.132
10.379 3.788 5.969
7.172 1.420 0.623
3.042 2.522 3.469
5.204 4.508 5.392
6.890 3.510 2.370
9.052 5.496 4.293
7.971 6.927 0.828
4.123 1.091 6.935
```

Uncorrected formation energy = -281 meV per atom
ρ = 7.0 g/cm3
VASP energy = -5.4683 eV per atom
Total magnetic moment = 1.001 μB per atom

=====

Record 3
# CuAs2S3

CuAs2S3 after structural relaxation (PBE, the Alexandria database).

```
CuAs2S3
1.0
-2.539 -4.264 -2.645
4.261 -4.460 3.100
-5.178 0.255 4.559
S As Cu
6 4 2
Cartesian
0.066 -4.093 0.938
-2.571 -4.614 -1.720
-4.629 -6.236 2.922
-1.542 -7.778 2.444
-3.021 -2.550 1.415
-2.014 -5.751 5.557
-0.469 -5.711 3.744
-3.304 -4.294 4.182
-1.393 -6.260 -0.462
-4.228 -4.843 -0.024
-1.564 -3.033 -0.313
-0.931 -3.822 6.328
```

Uncorrected formation energy = 3 meV per atom
ρ = 3.9 g/cm3
VASP energy = -4.2928 eV per atom
Total magnetic moment = 0.000 μB per atom

=====

Record 4
# KLiB

KLiB after structural relaxation (PBE, the Alexandria database).

```
KLiB
1.0
4.610 0.000 0.000
-0.069 6.025 0.000
-2.271 -2.995 5.198
B Li K
2 2 2
Cartesian
2.396 1.388 4.779
2.395 2.933 4.775
0.090 2.332 4.777
2.422 -0.866 4.777
0.115 -0.522 2.630
2.385 2.494 1.726
```

Formation energy = 348 meV per atom
ρ = 1.3 g/cm3
VASP energy = -2.8814 eV per atom
Total magnetic moment = 0.000 μB per atom

=====

Record 5
# RbZr2Fe

RbZr2Fe after structural relaxation (PBE, the Alexandria database).

```
RbZr2Fe
1.0
7.478 0.000 0.000
0.000 7.478 0.000
3.739 3.739 5.285
Rb Fe Zr
2 2 4
Cartesian
7.478 3.739 2.643
0.000 0.000 0.000
3.739 3.739 0.000
3.739 7.478 2.643
9.347 7.478 3.964
5.608 7.478 3.964
3.739 5.608 1.321
3.739 1.869 1.321
```

Formation energy = 1060 meV per atom
ρ = 3.6 g/cm3
VASP energy = -5.5712 eV per atom
Total magnetic moment = 0.000 μB per atom

=====

Record 6
# Cs3NpU2O9

Cs3NpU2O9 after structural relaxation (PBE, the Alexandria database).

```
Cs3NpU2O9
1.0
6.234 0.000 0.000
-3.117 5.399 0.000
0.000 0.000 7.634
Cs U O Np
3 2 9 1
Cartesian
0.000 0.000 0.000
0.000 3.599 5.086
3.117 1.800 2.549
0.000 3.599 1.279
3.117 1.800 6.355
-1.531 4.483 2.521
1.586 0.915 5.113
1.558 2.699 0.000
0.000 1.831 2.521
3.117 0.000 0.000
1.531 4.483 2.521
3.117 3.568 5.113
4.648 0.915 5.113
-1.558 2.699 0.000
0.000 0.000 3.817
```

Uncorrected formation energy = -2718 meV per atom
ρ = 8.1 g/cm3
VASP energy = -8.2310 eV per atom
Total magnetic moment = 0.267 μB per atom

=====

Record 7
# AsBr4Cl

AsBr4Cl after structural relaxation (PBE, the Alexandria database).

```
AsBr4Cl
1.0
-0.717 7.943 2.304
-5.708 -3.114 -1.795
1.903 -5.086 8.547
As Br Cl
2 8 2
Cartesian
-3.463 -5.151 3.824
-1.059 4.893 5.233
-2.420 -2.803 4.577
-5.018 1.651 1.396
-2.102 2.546 4.480
0.496 -1.909 7.661
-5.038 -3.879 2.093
-3.035 1.431 8.149
-1.487 -1.688 0.907
0.516 3.622 6.964
-1.241 -0.180 7.711
-3.282 -0.077 1.346
```

Uncorrected formation energy = -239 meV per atom
ρ = 3.1 g/cm3
VASP energy = -2.4374 eV per atom
Total magnetic moment = 0.000 μB per atom

=====

Record 8
# LaY2Cu3

LaY2Cu3 after structural relaxation (PBE, the Alexandria database).

```
LaY2Cu3
1.0
-1.730 -3.055 0.222
2.989 -1.740 -0.646
2.045 -0.394 10.519
Cu Y La
3 2 1
Cartesian
1.402 -0.270 7.214
0.000 0.000 0.000
0.642 -0.124 3.305
2.344 -2.728 8.610
0.959 -2.461 1.485
1.652 -2.594 5.047
```

Formation energy = -207 meV per atom
ρ = 6.3 g/cm3
VASP energy = -5.2311 eV per atom
Total magnetic moment = 0.000 μB per atom

=====

Record 9
# AcMgTlSn

AcMgTlSn after structural relaxation (PBE, the Alexandria database).

```
AcMgTlSn
1.0
-3.204 -4.509 0.023
-0.643 -2.913 4.659
-4.851 0.068 2.658
Ac Mg Tl Sn
1 1 1 1
Cartesian
-2.175 -1.838 1.835
-6.524 -5.515 5.505
-4.349 -3.677 3.670
0.000 0.000 0.000
```

Formation energy = -313 meV per atom
ρ = 8.0 g/cm3
VASP energy = -3.3313 eV per atom
Total magnetic moment = 0.000 μB per atom

=====

Record 10
# LaZrAs

LaZrAs after structural relaxation (PBE, the Alexandria database).

```
LaZrAs
1.0
3.752 0.000 0.000
0.000 3.701 0.000
0.000 0.000 11.505
As La Zr
2 2 2
Cartesian
1.876 1.850 4.592
1.876 0.000 10.345
1.876 0.000 2.001
1.876 1.850 7.754
0.000 0.000 5.318
0.000 1.850 11.071
```

Formation energy = -744 meV per atom
ρ = 6.3 g/cm3
VASP energy = -6.7859 eV per atom
Total magnetic moment = 0.000 μB per atom

=====

Record 11
# Li2CuAgCl4

Li2CuAgCl4 after structural relaxation (PBE, the Alexandria database).

```
Li2CuAgCl4
1.0
6.483 0.000 0.000
0.000 6.832 0.000
0.000 0.000 8.045
Cu Li Cl Ag
2 4 8 2
Cartesian
0.001 1.222 0.000
3.243 5.609 4.022
3.228 2.247 2.019
6.470 4.584 6.041
3.228 2.247 6.026
6.470 4.584 2.003
2.378 4.485 5.887
2.378 4.485 2.157
5.589 5.530 4.022
5.619 2.347 6.180
5.874 5.777 0.000
2.348 1.302 0.000
5.619 2.347 1.865
2.632 1.054 4.022
0.015 1.166 4.022
3.257 5.666 0.000
```

Uncorrected formation energy = -1118 meV per atom
ρ = 3.0 g/cm3
VASP energy = -3.3883 eV per atom
Total magnetic moment = 0.020 μB per atom

=====

Record 12
# Tb2Y6Er2Tm

Tb2Y6Er2Tm after structural relaxation (PBE, the Alexandria database).

```
Tb2Y6Er2Tm
1.0
6.582 -0.615 -0.486
-3.788 5.418 -0.486
-1.882 -3.236 11.331
Tb Y Er Tm
2 6 2 1
Cartesian
5.184 0.198 -0.486
-2.390 4.604 -0.486
-0.001 3.649 1.661
3.172 1.803 1.661
0.643 1.105 7.303
0.269 0.462 3.055
0.912 -2.082 8.697
-2.261 -0.236 8.697
-1.675 2.023 5.179
2.586 -0.456 5.179
-0.941 -1.618 5.665
```

Formation energy = 146 meV per atom
ρ = 6.3 g/cm3
VASP energy = -5.4576 eV per atom
Total magnetic moment = 0.001 μB per atom

=====

Record 13
# KCoNi2

KCoNi2 after structural relaxation (PBE, the Alexandria database).

```
KCoNi2
1.0
0.000 3.148 3.148
3.148 0.000 3.148
3.148 3.148 0.000
Ni K Co
2 1 1
Cartesian
1.574 1.574 1.574
4.721 4.721 4.721
0.000 0.000 0.000
3.148 3.148 3.148
```

Formation energy = 1160 meV per atom
ρ = 5.7 g/cm3
VASP energy = -3.7813 eV per atom
Total magnetic moment = 0.607 μB per atom

=====

Record 14
# PS

PS after structural relaxation (PBE, the Alexandria database).

```
PS
1.0
11.206 0.000 0.000
0.000 11.206 0.000
0.000 0.000 3.473
P S
8 8
Cartesian
9.035 3.262 1.737
3.432 8.865 0.000
2.171 7.944 1.737
3.262 2.171 1.737
7.944 9.035 1.737
2.341 3.432 0.000
7.774 2.341 0.000
8.865 7.774 0.000
3.174 5.209 0.000
5.996 3.174 0.000
8.032 5.996 0.000
0.394 8.777 1.737
2.429 0.394 1.737
8.777 10.812 1.737
10.812 2.429 1.737
5.209 8.032 0.000
```

Uncorrected formation energy = 192 meV per atom
ρ = 1.9 g/cm3
VASP energy = -4.5769 eV per atom
Total magnetic moment = 0.000 μB per atom

=====

Record 15
# SrTcPt2I

SrTcPt2I after structural relaxation (PBE, the Alexandria database).

```
SrTcPt2I
1.0
4.787 0.000 0.000
0.000 6.409 0.000
0.000 0.000 4.787
Sr I Pt Tc
1 1 2 1
Cartesian
0.000 3.205 0.000
2.393 3.205 2.393
0.000 0.000 2.393
2.393 0.000 0.000
0.000 0.000 0.000
```

Uncorrected formation energy = 393 meV per atom
ρ = 7.9 g/cm3
VASP energy = -4.7426 eV per atom
Total magnetic moment = 0.000 μB per atom

=====

Record 16
# AlFe2Rh3

AlFe2Rh3 after structural relaxation (PBE, the Alexandria database).

```
AlFe2Rh3
1.0
2.978 0.000 0.000
0.000 4.036 -1.336
0.000 0.001 6.768
Fe Rh Al
2 3 1
Cartesian
0.000 1.334 4.030
0.000 2.703 1.402
1.489 0.659 1.991
1.489 3.378 3.441
1.489 2.018 -0.668
0.000 0.000 0.000
```

Formation energy = -403 meV per atom
ρ = 9.1 g/cm3
VASP energy = -7.5234 eV per atom
Total magnetic moment = 1.380 μB per atom

=====

Record 17
# Ac3Ni2Rh4

Ac3Ni2Rh4 after structural relaxation (PBE, the Alexandria database).

```
Ac3Ni2Rh4
1.0
-4.227 0.327 0.863
2.827 -0.585 3.223
2.427 25.004 2.410
Ni Rh Ac
4 8 6
Cartesian
1.211 12.470 1.202
0.405 4.167 0.402
2.026 20.868 2.012
-1.471 4.191 2.052
0.803 8.274 0.798
-1.073 8.288 2.447
0.150 20.893 3.662
-1.869 0.093 1.657
-0.258 16.692 3.257
-0.665 12.492 2.852
1.618 16.669 1.607
0.006 0.061 0.006
2.301 18.523 4.249
0.682 1.845 2.641
1.487 10.133 3.440
1.079 5.928 3.035
1.887 14.254 3.837
2.701 22.644 4.646
```

Formation energy = -429 meV per atom
ρ = 9.8 g/cm3
VASP energy = -6.3502 eV per atom
Total magnetic moment = 0.027 μB per atom

=====

Record 18
# AlAu3Br

AlAu3Br after structural relaxation (PBE, the Alexandria database).

```
AlAu3Br
1.0
4.948 0.000 0.000
0.000 4.948 0.000
0.000 0.000 4.948
Au Br Al
3 1 1
Cartesian
0.000 2.474 0.000
0.000 0.000 2.474
2.474 0.000 0.000
2.474 2.474 2.474
0.000 0.000 0.000
```

Uncorrected formation energy = 377 meV per atom
ρ = 9.6 g/cm3
VASP energy = -2.6725 eV per atom
Total magnetic moment = 0.000 μB per atom

=====

Record 19
# Tb2GdSc

Tb2GdSc after structural relaxation (PBE, the Alexandria database).

```
Tb2GdSc
1.0
3.503 0.000 0.000
1.752 3.034 0.000
1.752 1.011 11.311
Gd Tb Sc
1 2 1
Cartesian
3.503 2.022 5.655
5.255 3.034 8.604
1.752 1.011 2.707
0.000 0.000 0.000
```

Formation energy = 46 meV per atom
ρ = 7.2 g/cm3
VASP energy = -7.3724 eV per atom
Total magnetic moment = 1.847 μB per atom

=====

Record 20
# CsNaF2

CsNaF2 after structural relaxation (PBE, the Alexandria database).

```
CsNaF2
1.0
-0.329 1.553 -2.981
2.915 -1.360 -1.030
-3.306 -5.280 -2.386
F Cs Na
2 1 1
Cartesian
-2.592 -4.140 -1.871
-0.714 -1.140 -0.515
-0.359 -2.544 -3.198
1.293 0.097 -2.005
```

Uncorrected formation energy = -2395 meV per atom
ρ = 4.2 g/cm3
VASP energy = -3.8737 eV per atom
Total magnetic moment = 0.013 μB per atom